w) Computed, not measured: a relaxed structure of MnAgClF2 at the PBE+U level of DFT.

Cell: 4.067 4.067 5.488 Å, 90.00 90.00 90.00°
Fractional positions:
1 F 0.000 0.500 0.000
2 F 0.500 0.000 0.000
3 Ag 0.500 0.500 0.500
4 Cl 0.000 0.000 0.500
5 Mn 0.000 0.000 0.000

Calculated density   4.3 g cm⁻³
Calculated volume   91 Å³ per cell
Crystal system   tetragonal
Symmetry   P4/mmm (123)

=====

x) Computed, not measured: a relaxed structure of MnAgClF2 at the PBE+U level of DFT.

Cell: 5.610 5.610 6.912 Å, 113.94 113.94 90.00°
Fractional positions:
1 F 0.286 0.786 0.954
2 F 0.668 0.168 0.954
3 F 0.168 0.286 0.954
4 F 0.786 0.668 0.954
5 Mn 0.012 0.012 0.024
6 Mn 0.512 0.512 0.024
7 Ag 0.798 0.298 0.596
8 Ag 0.298 0.798 0.596
9 Cl 0.237 0.237 0.474
10 Cl 0.737 0.737 0.474

Calculated density   4.4 g cm⁻³
Calculated volume   178 Å³ per cell
Crystal system   tetragonal
Symmetry   I4cm (108)

=====

Relative energies, in kJ/mol of atoms, with the most stable structure set to zero: w) 4.0; x) 0.0.